Crystalline MoP2Cl at its relaxed geometry. Source: Alexandria, functional PBE-GGA.

Calculated values
* D(E_F): 0.634 states/eV per atom
* distance to the lowest polymorph of the same formula: 0.783 eV/atom

The structure in POSCAR format:
```
MoP2Cl
1.0
-1.989 1.989 3.789
1.989 -1.989 3.789
1.989 1.989 -3.789
Mo P Cl
1 2 1
direct
0.000 0.000 0.000
0.250 0.750 0.500
0.750 0.250 0.500
0.500 0.500 0.000
```

---

Crystalline MoP2Cl at its relaxed geometry. Source: Alexandria, functional PBE-GGA.

Calculated values
* D(E_F): 0.268 states/eV per atom
* distance to the lowest polymorph of the same formula: 0.177 eV/atom

The structure in POSCAR format:
```
MoP2Cl
1.0
1.610 0.930 7.478
-1.610 0.930 7.478
0.000 -1.859 7.478
Mo P Cl
1 2 1
direct
0.000 0.000 0.000
0.262 0.262 0.262
0.738 0.738 0.738
0.500 0.500 0.500
```

---

Crystalline MoPCl2 at its relaxed geometry. Source: Alexandria, functional PBE-GGA.

Calculated values
* D(E_F): 0.882 states/eV per atom
* distance to the lowest polymorph of the same formula: 0.438 eV/atom

The structure in POSCAR format:
```
MoPCl2
1.0
3.307 0.000 0.000
0.000 3.307 0.000
0.000 0.000 7.863
Mo P Cl
1 1 2
direct
0.000 0.000 0.000
0.500 0.500 0.120
0.000 0.000 0.322
0.500 0.500 0.771
```

---

Crystalline MoPCl2 at its relaxed geometry. Source: Alexandria, functional PBE-GGA.

Calculated values
* D(E_F): 0.851 states/eV per atom
* distance to the lowest polymorph of the same formula: 1.344 eV/atom

The structure in POSCAR format:
```
MoPCl2
1.0
2.820 -4.146 0.000
2.820 4.146 0.000
0.000 0.000 2.873
Mo P Cl
1 1 2
direct
0.000 0.000 0.000
0.500 0.500 0.000
0.000 0.500 0.500
0.500 0.000 0.500
```

---

Crystalline MoPCl2 at its relaxed geometry. Source: Alexandria, functional PBE-GGA.

Calculated values
* D(E_F): 0.399 states/eV per atom
* distance to the lowest polymorph of the same formula: 0.229 eV/atom

The structure in POSCAR format:
```
MoPCl2
1.0
-1.499 2.028 7.541
1.499 -2.028 7.541
1.499 2.028 -7.541
Mo P Cl
1 1 2
direct
0.000 0.000 0.000
0.500 0.500 0.000
0.138 0.638 0.500
0.862 0.362 0.500
```

---

Crystalline Mo4PCl at its relaxed geometry. Source: Alexandria, functional PBE-GGA.

Calculated values
* D(E_F): 1.058 states/eV per atom

The structure in POSCAR format:
```
Mo4PCl
1.0
0.000 3.719 3.719
3.719 0.000 3.719
3.719 3.719 0.000
Mo P Cl
4 1 1
direct
0.377 0.377 0.377
0.377 0.377 0.869
0.377 0.869 0.377
0.869 0.377 0.377
0.000 0.000 0.000
0.750 0.750 0.750
```

---

The energy relative to the elements, uncorrected results, record by record, are as follows: 0.5515; -0.0547; 0.0269; 0.9321; -0.1820; 0.9907 eV/atom.